1.
A plane-wave DFT calculation with PBE was carried out for a relaxed structure of InRePb2.

Output
space-group type: No. 122
offset from the most stable computed form: 0.525 eV per atom
energy relative to the elements: 1.040 eV per atom

Lattice parameters (Å, degrees): 4.276 4.276 11.150 78.95 78.95 90.00
Fractional coordinates of all 8 atoms:
1 Re 0.000 0.000 0.000
2 Pb 0.375 0.370 0.750
3 Pb 0.120 0.625 0.250
4 In 0.500 0.500 0.000
5 In 0.250 0.750 0.500
6 Pb 0.630 0.125 0.250
7 Re 0.750 0.250 0.500
8 Pb 0.875 0.880 0.750



2.
A plane-wave DFT calculation with PBE was carried out for a relaxed structure of MnRuRh6.

Output
space-group type: No. 123
energy relative to the elements: -0.051 eV per atom

Lattice parameters (Å, degrees): 3.840 5.409 5.409 90.01 90.00 90.00
Each line ends with the local moment (μB).
Fractional coordinates of all 8 atoms:
1 Ru 0.500 0.500 0.500  -0.07
2 Rh 0.000 0.252 0.252  -0.04
3 Rh 0.000 0.252 0.748  -0.04
4 Rh 0.500 0.500 0.000  -0.01
5 Rh 0.500 0.000 0.500  -0.01
6 Mn 0.500 0.000 0.000  3.37
7 Rh 0.000 0.748 0.252  -0.04
8 Rh 0.000 0.748 0.748  -0.04



3.
A plane-wave DFT calculation with PBE was carried out for a relaxed structure of MnBr2Cl.

Output
space-group type: No. 35
uncorrected formation energy: -362 meV per atom
offset from the most stable computed form: 0.357 eV per atom

Lattice parameters (Å, degrees): 4.796 4.796 10.103 90.00 90.00 139.19
Each line ends with the local moment (μB).
Fractional coordinates of all 4 atoms:
1 Cl 0.000 0.000 0.580  0.08
2 Br 0.000 0.000 0.926  0.07
3 Mn 0.500 0.500 0.744  4.21
4 Br 0.500 0.500 0.250  -0.04